*A*
Entry from Alexandria via LeMat-Bulk: an optimized crystal structure of Cu3HgRh (GGA-PBE).

Output
* crystal system: cubic
* ρ: 8.10 g cm⁻³
* space group: No. 221

Lattice parameters (Å, degrees): 4.661 4.661 4.661 90.00 90.00 90.00
Element x y z (fractional)
Rh 0.000 0.000 0.000
Cu 0.000 0.500 0.000
Cu 0.500 0.000 0.000
Hg 0.500 0.500 0.500
Cu 0.000 0.000 0.500

*B*
Entry from Alexandria via LeMat-Bulk: an optimized crystal structure of Cu3HgRh (GGA-PBE).

Output
* crystal system: cubic
* ρ: 7.85 g cm⁻³
* space group: No. 221

Lattice parameters (Å, degrees): 4.711 4.711 4.711 90.00 90.00 90.00
Element x y z (fractional)
Cu 0.500 0.000 0.000
Cu 0.000 0.500 0.000
Cu 0.000 0.000 0.500
Rh 0.500 0.500 0.500
Hg 0.000 0.000 0.000

Of all the structures shown, which is most stable? *A*, and *B* is the least stable.